Entry 1:
Here is a relaxed structure of Mg2SnAsF from Alexandria. Energies are from PBE.

Raw formation energy (eV/f.u.): -0.7
Volume (Å³ per atom): 28.946

a = 4.941 Å, b = 5.929 Å, c = 4.941 Å
α = 90.00°, β = 90.00°, γ = 90.00°
Element x y z (fractional)
Mg: 0.000 0.000 0.500
Sn: 0.000 0.500 0.000
Mg: 0.500 0.000 0.000
F: 0.500 0.500 0.500
As: 0.000 0.000 0.000

---

Entry 2:
Here is a relaxed structure of Cs2ScMnSe4 from Alexandria. Energies are from PBE.

Raw formation energy (eV/f.u.): -9.1
Volume (Å³ per atom): 38.453

a = 6.338 Å, b = 8.231 Å, c = 13.165 Å
α = 84.68°, β = 76.07°, γ = 67.35°
Site moments in Bohr magnetons follow the coordinates.
Element x y z (fractional)
Se: 0.870 0.698 0.594  -0.01
Se: 0.318 0.802 0.094  -0.01
Mn: 0.500 0.000 0.000  3.52
Se: 0.588 0.198 0.094  -0.01
Sc: 0.750 0.500 0.500  0.14
Se: 0.214 0.198 0.906  -0.01
Se: 0.536 0.302 0.594  -0.01
Mn: 0.250 0.500 0.500  3.52
Cs: 0.822 0.000 0.356  0.00
Se: 0.162 0.302 0.406  -0.01
Cs: 0.178 0.000 0.644  0.00
Cs: 0.928 0.500 0.144  0.00
Cs: 0.572 0.500 0.856  0.00
Sc: 0.000 0.000 0.000  0.14
Se: 0.432 0.698 0.406  -0.01
Se: 0.880 0.802 0.906  -0.01

---

Entry 3:
Here is a relaxed structure of Er5TmIn2Bi from Alexandria. Energies are from PBE.

Volume (Å³ per atom): 28.649
Raw total energy (eV per atom): -4.145

a = 8.258 Å, b = 8.258 Å, c = 9.554 Å
α = 115.60°, β = 115.60°, γ = 90.00°
Site moments in Bohr magnetons follow the coordinates.
Element x y z (fractional)
Bi: 0.250 0.250 0.500  -0.02
Bi: 0.750 0.750 0.500  -0.02
In: 0.115 0.385 0.000  0.00
In: 0.885 0.615 0.000  0.00
Er: 0.654 0.154 0.730  0.17
Tm: 0.250 0.750 0.500  0.21
Er: 0.846 0.924 0.270  0.17
Er: 0.424 0.346 0.270  0.17
Er: 0.346 0.846 0.270  0.17
Er: 0.924 0.424 0.270  0.17
Er: 0.500 0.500 0.000  0.28
Er: 0.000 0.000 0.000  0.28
Tm: 0.750 0.250 0.500  0.21
Er: 0.576 0.654 0.730  0.17
Er: 0.076 0.576 0.730  0.17
Er: 0.154 0.076 0.730  0.17
In: 0.385 0.885 0.000  0.00
In: 0.615 0.115 0.000  0.00

---

These records have magnetization values of 0.00, 4.00, 1.54 μB/f.u., in the order they appear.